A plane-wave DFT calculation with PBE-GGA was carried out for Mg5GaPb4 after structural relaxation.

## Properties
DFT total energy: -2.655 eV per atom
formation energy: -0.7 eV per formula unit

```
data_Mg5GaPb4
_chemical_formula_sum 'Mg5 Ga1 Pb4'
_cell_length_a 3.5402
_cell_length_b 3.5402
_cell_length_c 19.9895
_cell_angle_alpha 90.00
_cell_angle_beta 90.00
_cell_angle_gamma 90.00
_symmetry_space_group_name_H-M 'P 4/m m m'
_symmetry_Int_Tables_number 123
_symmetry_space_group_name_Hall '-P 4 2'
loop_
_atom_site_label
_atom_site_fract_x
_atom_site_fract_y
_atom_site_fract_z
Mg1 0.0000 0.0000 0.0000
Mg2 0.0000 0.0000 0.2090
Mg3 0.0000 0.0000 0.4206
Ga1 0.5000 0.5000 0.5000
Pb1 0.5000 0.5000 0.1042
Pb2 0.5000 0.5000 0.3142
```

---

A plane-wave DFT calculation with PBE-GGA was carried out for Pu2FeNi3 after structural relaxation.

## Properties
DFT total energy: -9.311 eV per atom
formation energy: -1.4 eV per formula unit

```
data_Pu2FeNi3
_chemical_formula_sum 'Pu6 Fe3 Ni9'
_cell_length_a 5.0227
_cell_length_b 5.0227
_cell_length_c 12.5274
_cell_angle_alpha 90.00
_cell_angle_beta 90.00
_cell_angle_gamma 120.00
_symmetry_space_group_name_H-M 'R -3 m'
_symmetry_Int_Tables_number 166
_symmetry_space_group_name_Hall '-R 3 2"'
loop_
_atom_site_label
_atom_site_fract_x
_atom_site_fract_y
_atom_site_fract_z
Pu1 0.0000 0.0000 0.1248
Fe1 0.0000 0.0000 0.5000
Ni1 0.0000 0.5000 0.0000
```

---

A plane-wave DFT calculation with PBE-GGA was carried out for KZrAl2 after structural relaxation.

## Properties
DFT total energy: -3.990 eV per atom
relative energy among the computed polymorphs: 28.6 kJ/mol of atoms
formation energy: 1.2 eV per formula unit

```
data_KZrAl2
_chemical_formula_sum 'K2 Zr2 Al4'
_cell_length_a 2.9476
_cell_length_b 5.6380
_cell_length_c 11.4103
_cell_angle_alpha 90.00
_cell_angle_beta 90.00
_cell_angle_gamma 90.00
_symmetry_space_group_name_H-M 'I m m 2'
_symmetry_Int_Tables_number 44
loop_
_symmetry_equiv_pos_as_xyz
'x,y,z'
'-x,-y,z'
'-x,y,z'
'x,-y,z'
'x+1/2,y+1/2,z+1/2'
'-x+1/2,-y+1/2,z+1/2'
'-x+1/2,y+1/2,z+1/2'
'x+1/2,-y+1/2,z+1/2'
loop_
_atom_site_label
_atom_site_fract_x
_atom_site_fract_y
_atom_site_fract_z
K1 0.0000 0.0000 0.0000
Zr1 0.0000 0.5000 0.7988
Al1 0.0000 0.0000 0.5183
Al2 0.0000 0.5000 0.2278
```

---

A plane-wave DFT calculation with PBE-GGA was carried out for Na3CeF7 after structural relaxation.

## Properties
formation energy from raw total energies: -3236 meV per atom
DFT total energy: -5.326 eV per atom

```
data_Na3CeF7
_chemical_formula_sum 'Na6 Ce2 F14'
_cell_length_a 7.9733
_cell_length_b 7.9167
_cell_length_c 6.6747
_cell_angle_alpha 90.00
_cell_angle_beta 125.75
_cell_angle_gamma 90.00
_symmetry_space_group_name_H-M 'C 1 m 1'
_symmetry_Int_Tables_number 8
loop_
_symmetry_equiv_pos_as_xyz
'x,y,z'
'x,-y,z'
'x+1/2,y+1/2,z'
'x+1/2,-y+1/2,z'
loop_
_atom_site_label
_atom_site_fract_x
_atom_site_fract_y
_atom_site_fract_z
Na1 0.0000 0.0000 0.0000
Na2 0.0128 0.2715 0.5636
Ce1 0.4678 0.0000 0.0252
F1 0.1177 0.0000 0.7530
F2 0.1595 0.3021 0.2961
F3 0.1654 0.5000 0.8882
F4 0.3608 0.0000 0.2730
F5 0.3765 0.2372 0.8021
```

---

A plane-wave DFT calculation with PBE-GGA was carried out for Cd2Hg3Pd8 after structural relaxation.

## Properties
DFT total energy: -3.390 eV per atom
formation energy: 0.2 eV per formula unit

```
data_Cd2Hg3Pd8
_chemical_formula_sum 'Cd4 Hg6 Pd16'
_cell_length_a 13.9628
_cell_length_b 7.3423
_cell_length_c 5.3585
_cell_angle_alpha 90.00
_cell_angle_beta 106.25
_cell_angle_gamma 90.00
_symmetry_space_group_name_H-M 'C 1 2/m 1'
_symmetry_Int_Tables_number 12
loop_
_symmetry_equiv_pos_as_xyz
'x,y,z'
'-x,-y,-z'
'-x,y,-z'
'x,-y,z'
'x+1/2,y+1/2,z'
'-x+1/2,-y+1/2,-z'
'-x+1/2,y+1/2,-z'
'x+1/2,-y+1/2,z'
loop_
_atom_site_label
_atom_site_fract_x
_atom_site_fract_y
_atom_site_fract_z
Cd1 0.1621 0.0000 0.1973
Hg1 0.0000 0.2184 0.5000
Hg2 0.0000 0.5000 0.0000
Pd1 0.1463 0.5000 0.4504
Pd2 0.1594 0.3197 0.9304
Pd3 0.1791 0.0000 0.7003
```

---

A plane-wave DFT calculation with PBE-GGA was carried out for Ba3LiAl2O6 after structural relaxation.

## Properties
formation energy from raw total energies: -2374 meV per atom
DFT total energy: -6.117 eV per atom

```
data_Ba3LiAl2O6
_chemical_formula_sum 'Ba3 Li1 Al2 O6'
_cell_length_a 5.9537
_cell_length_b 5.9537
_cell_length_c 7.0876
_cell_angle_alpha 90.00
_cell_angle_beta 90.00
_cell_angle_gamma 120.00
_symmetry_space_group_name_H-M 'P -3 m 1'
_symmetry_Int_Tables_number 164
_symmetry_space_group_name_Hall '-P 3 2"'
loop_
_atom_site_label
_atom_site_fract_x
_atom_site_fract_y
_atom_site_fract_z
Ba1 0.0000 0.0000 0.0000
Ba2 0.3333 0.6667 0.6601
Li1 0.0000 0.0000 0.5000
Al1 0.3333 0.6667 0.2301
O1 0.1719 0.3438 0.2932
```